(1)
Li2CdB: optimized geometry, PBE.

formation enthalpy at 0 K	0.43	eV/atom
total magnetic moment	0.00	μB per formula unit
DOS at the Fermi energy	1.3	states/eV/f.u.

```
Li2CdB
1.0
0.1161 1.9418 3.7206
-2.9955 -0.7382 2.8476
0.8987 -2.1758 3.4764
B Li Cd
1 2 1
direct
0.0000 0.0000 0.0000
0.2500 0.2500 0.2500
0.7500 0.7500 0.7500
0.5000 0.5000 0.5000
```

=====

(2)
LiCeTmMo: optimized geometry, PBE.

formation enthalpy at 0 K	0.18	eV/atom
total magnetic moment	0.00	μB per formula unit
DOS at the Fermi energy	3.7	states/eV/f.u.

```
LiCeTmMo
1.0
-0.9851 4.8456 0.3260
-1.4876 1.9415 4.3098
3.0286 2.9779 2.5528
Mo Tm Ce Li
1 1 1 1
direct
0.2500 0.2500 0.2500
0.0000 0.0000 0.0000
0.5000 0.5000 0.5000
0.7500 0.7500 0.7500
```

=====

(3)
PmErGe4: optimized geometry, PBE.

formation enthalpy at 0 K	-0.32	eV/atom
total magnetic moment	0.00	μB per formula unit
DOS at the Fermi energy	7.1	states/eV/f.u.

```
PmErGe4
1.0
5.6615 0.0000 0.0000
2.8307 4.9030 0.0000
2.8307 1.6343 4.6226
Ge Pm Er
4 1 1
direct
0.6239 0.6239 0.1283
0.6239 0.1283 0.6239
0.6239 0.6239 0.6239
0.1283 0.6239 0.6239
0.0000 0.0000 0.0000
0.2500 0.2500 0.2500
```

=====

(4)
NaCeHgI6: optimized geometry, PBE.

ΔE_f (raw)	-0.904	eV per atom
total magnetic moment	0.85	μB per formula unit
DOS at the Fermi energy	6.8	states/eV/f.u.

```
NaCeHgI6
1.0
-0.9230 -6.7763 3.8190
0.1115 -6.7659 -3.9445
7.0132 -0.4282 0.9332
Na Ce Hg I
1 1 1 6
direct
0.6666 0.6667 0.4999
0.3333 0.3333 0.5001
0.0000 0.0000 0.0001
0.0116 0.3331 0.2471
0.3331 0.0115 0.7528
0.6554 0.3331 0.7529
0.0115 0.6554 0.7528
0.3330 0.6554 0.2471
0.6553 0.0116 0.2471
```

=====

(5)
CeMgInGa: optimized geometry, PBE.

formation enthalpy at 0 K	-0.34	eV/atom
total magnetic moment	0.00	μB per formula unit
DOS at the Fermi energy	4.5	states/eV/f.u.

```
CeMgInGa
1.0
5.0985 0.0000 0.0000
2.5492 4.4154 0.0000
2.5492 1.4718 4.1629
Mg Ga Ce In
1 1 1 1
direct
0.0000 0.0000 0.0000
0.2500 0.2500 0.2500
0.5000 0.5000 0.5000
0.7500 0.7500 0.7500
```

=====

(6)
YMgCo3: optimized geometry, PBE.

formation enthalpy at 0 K	1.41	eV/atom
total magnetic moment	2.48	μB per formula unit
DOS at the Fermi energy	8.1	states/eV/f.u.

```
YMgCo3
1.0
-1.5086 -4.4307 -0.0625
4.4295 -1.5097 0.1057
-0.1202 -0.0250 4.6793
Y Mg Co
1 1 3
direct
0.0000 0.0000 0.0000
0.5000 0.5000 0.5000
0.0000 0.5000 0.0000
0.0000 0.0000 0.5000
0.5000 0.0000 0.0000
```

=====

(7)
NbTcSe2O: optimized geometry, PBE.

ΔE_f (raw)	0.327	eV per atom
total magnetic moment	0.83	μB per formula unit
DOS at the Fermi energy	5.1	states/eV/f.u.

```
NbTcSe2O
1.0
-1.2966 -0.5035 -4.5716
-2.9151 -1.9748 1.0443
-2.6014 3.9973 0.2975
O Nb Tc Se
1 1 1 2
direct
0.0000 0.0000 0.0000
0.5000 0.5000 0.5000
0.0000 0.5000 0.0000
0.0000 0.0000 0.5000
0.5000 0.0000 0.0000
```

=====

(8)
YAg3Rh: optimized geometry, PBE.

formation enthalpy at 0 K	0.51	eV/atom
total magnetic moment	0.00	μB per formula unit
DOS at the Fermi energy	3.3	states/eV/f.u.

```
YAg3Rh
1.0
-3.0569 -1.4102 3.6816
1.5556 -4.7121 -0.5133
3.6225 0.8334 3.3271
Y Rh Ag
1 1 3
direct
0.5000 0.5000 0.5000
0.0000 0.0000 0.0000
0.0000 0.5000 0.0000
0.0000 0.0000 0.5000
0.5000 0.0000 0.0000
```

=====

Question: What is the DOS at the Fermi energy in the fourth record?
Answer: 6.8 states/eV/f.u.